1.
# PBE TlC, optimized geometry
# ΔE to the lowest computed polymorph (kJ per mole of atoms): 132.1
# ΔH_f (0 K) (meV/atom): 2153
data_TlC
_chemical_formula_sum 'Tl2 C2'
_cell_length_a 3.7045
_cell_length_b 3.7045
_cell_length_c 5.6179
_cell_angle_alpha 90.00
_cell_angle_beta 90.00
_cell_angle_gamma 120.00
_space_group_name_H-M_alt 'P 63/m m c'
_space_group_IT_number 194
_space_group_name_Hall '-P 6c 2c'
loop_
_atom_site_label
_atom_site_type_symbol
_atom_site_fract_x
_atom_site_fract_y
_atom_site_fract_z
Tl1 Tl 0.3333 0.6667 0.2500
C1 C 0.0000 0.0000 0.0000

=====

2.
# PBE CuTcAsBr2, optimized geometry
# ΔE to the lowest computed polymorph (kJ per mole of atoms): 0.0
# Formation energy (no corrections) (meV per atom): 644
data_CuTcAsBr2
_chemical_formula_sum 'Cu1 Tc1 As1 Br2'
_cell_length_a 5.233
_cell_length_b 5.233
_cell_length_c 4.718
_cell_angle_alpha 90.00
_cell_angle_beta 90.00
_cell_angle_gamma 90.00
_space_group_name_H-M_alt 'P 4/m m m'
_space_group_IT_number 123
_space_group_name_Hall '-P 4 2'
loop_
_atom_site_label
_atom_site_type_symbol
_atom_site_fract_x
_atom_site_fract_y
_atom_site_fract_z
Cu1 Cu 0.000 0.000 0.000
Tc1 Tc 0.500 0.500 0.500
As1 As 0.500 0.500 0.000
Br1 Br 0.000 0.500 0.500

=====

3.
# PBE Cr2OsAu, optimized geometry
# ΔH_f (0 K) (meV/atom): 802
data_Cr2OsAu
_chemical_formula_sum 'Cr8 Os4 Au4'
_cell_length_a 6.852
_cell_length_b 6.852
_cell_length_c 5.317
_cell_angle_alpha 90.00
_cell_angle_beta 90.00
_cell_angle_gamma 90.00
_space_group_name_H-M_alt 'I -4 2 d'
_space_group_IT_number 122
_space_group_name_Hall 'I -4 2bw'
loop_
_atom_site_label
_atom_site_type_symbol
_atom_site_fract_x
_atom_site_fract_y
_atom_site_fract_z
Cr1 Cr 0.213 0.250 0.125
Os1 Os 0.000 0.000 0.000
Au1 Au 0.000 0.000 0.500

=====

4.
# PBE SrPt2Cl, optimized geometry
# ΔE to the lowest computed polymorph (kJ per mole of atoms): 51.8
# Formation energy (no corrections) (meV per atom): -266
data_SrPt2Cl
_chemical_formula_sum 'Sr1 Pt2 Cl1'
_cell_length_a 3.133
_cell_length_b 5.088
_cell_length_c 5.393
_cell_angle_alpha 90.00
_cell_angle_beta 90.00
_cell_angle_gamma 90.00
_space_group_name_H-M_alt 'P m m m'
_space_group_IT_number 47
loop_
_space_group_symop_operation_xyz
'x,y,z'
'-x,-y,-z'
'-x,-y,z'
'x,y,-z'
'x,-y,-z'
'-x,y,z'
'-x,y,-z'
'x,-y,z'
loop_
_atom_site_label
_atom_site_type_symbol
_atom_site_fract_x
_atom_site_fract_y
_atom_site_fract_z
Sr1 Sr 0.000 0.000 0.000
Pt1 Pt 0.500 0.500 0.246
Cl1 Cl 0.000 0.000 0.500

=====

5.
# PBE Ho4Tm7Pu, optimized geometry
# ΔE to the lowest computed polymorph (kJ per mole of atoms): 0.0
# ΔH_f (0 K) (meV/atom): 192
data_Ho4Tm7Pu
_chemical_formula_sum 'Ho8 Tm14 Pu2'
_cell_length_a 16.017
_cell_length_b 6.234
_cell_length_c 8.695
_cell_angle_alpha 90.00
_cell_angle_beta 122.13
_cell_angle_gamma 90.00
_space_group_name_H-M_alt 'C 1 2 1'
_space_group_IT_number 5
loop_
_space_group_symop_operation_xyz
'x,y,z'
'-x,y,-z'
'x+1/2,y+1/2,z'
'-x+1/2,y+1/2,-z'
loop_
_atom_site_label
_atom_site_type_symbol
_atom_site_fract_x
_atom_site_fract_y
_atom_site_fract_z
Ho1 Ho 0.079 0.000 0.415
Ho2 Ho 0.218 0.563 0.637
Tm1 Tm 0.000 0.230 0.000
Tm2 Tm 0.045 0.498 0.734
Tm3 Tm 0.170 0.967 0.917
Tm4 Tm 0.187 0.566 0.238
Pu1 Pu 0.000 0.772 0.000

=====

6.
# PBE Pu2FeBr, optimized geometry
# Formation energy (no corrections) (meV per atom): -379
data_Pu2FeBr
_chemical_formula_sum 'Pu6 Fe3 Br3'
_cell_length_a 3.7984
_cell_length_b 3.7984
_cell_length_c 23.2099
_cell_angle_alpha 90.00
_cell_angle_beta 90.00
_cell_angle_gamma 120.00
_space_group_name_H-M_alt 'R -3 m'
_space_group_IT_number 166
_space_group_name_Hall '-R 3 2"'
loop_
_atom_site_label
_atom_site_type_symbol
_atom_site_fract_x
_atom_site_fract_y
_atom_site_fract_z
Pu1 Pu 0.0000 0.0000 0.2314
Fe1 Fe 0.0000 0.0000 0.5000
Br1 Br 0.0000 0.0000 0.0000

=====

7.
# PBE Na2DyBiSe4, optimized geometry
# Formation energy (no corrections) (meV per atom): -1221
data_Na2DyBiSe4
_chemical_formula_sum 'Na2 Dy1 Bi1 Se4'
_cell_length_a 7.287
_cell_length_b 4.190
_cell_length_c 7.448
_cell_angle_alpha 90.00
_cell_angle_beta 108.95
_cell_angle_gamma 90.00
_space_group_name_H-M_alt 'P 1 2/m 1'
_space_group_IT_number 10
loop_
_space_group_symop_operation_xyz
'x,y,z'
'-x,-y,-z'
'-x,y,-z'
'x,-y,z'
loop_
_atom_site_label
_atom_site_type_symbol
_atom_site_fract_x
_atom_site_fract_y
_atom_site_fract_z
Na1 Na 0.000 0.000 0.000
Na2 Na 0.500 0.500 0.000
Dy1 Dy 0.000 0.500 0.500
Bi1 Bi 0.500 0.000 0.500
Se1 Se 0.238 0.000 0.730
Se2 Se 0.248 0.500 0.264

=====

8.
# PBE NiMoH2, optimized geometry
# ΔE to the lowest computed polymorph (kJ per mole of atoms): 43.8
data_NiMoH2
_chemical_formula_sum 'Ni4 Mo4 H8'
_cell_length_a 5.053
_cell_length_b 5.053
_cell_length_c 5.053
_cell_angle_alpha 90.00
_cell_angle_beta 90.00
_cell_angle_gamma 90.00
_space_group_name_H-M_alt 'F m -3 m'
_space_group_IT_number 225
_space_group_name_Hall '-F 4 2 3'
loop_
_atom_site_label
_atom_site_type_symbol
_atom_site_fract_x
_atom_site_fract_y
_atom_site_fract_z
Ni1 Ni 0.000 0.000 0.000
Mo1 Mo 0.000 0.000 0.500
H1 H 0.250 0.250 0.250

=====

9.
# PBE ScPtRh, optimized geometry
# ΔE to the lowest computed polymorph (kJ per mole of atoms): 27.8
# ΔH_f (0 K) (meV/atom): -433
data_ScPtRh
_chemical_formula_sum 'Sc4 Pt4 Rh4'
_cell_length_a 6.153
_cell_length_b 6.153
_cell_length_c 6.153
_cell_angle_alpha 90.00
_cell_angle_beta 90.00
_cell_angle_gamma 90.00
_space_group_name_H-M_alt 'F -4 3 m'
_space_group_IT_number 216
_space_group_name_Hall 'F -4 2 3'
loop_
_atom_site_label
_atom_site_type_symbol
_atom_site_fract_x
_atom_site_fract_y
_atom_site_fract_z
Sc1 Sc 0.000 0.000 0.000
Pt1 Pt 0.000 0.000 0.500
Rh1 Rh 0.250 0.250 0.750

=====

10.
# PBE Zr2SiPb, optimized geometry
# ΔE to the lowest computed polymorph (kJ per mole of atoms): 19.1
# Formation energy (no corrections) (meV per atom): -236
data_Zr2SiPb
_chemical_formula_sum 'Zr2 Si1 Pb1'
_cell_length_a 4.096
_cell_length_b 4.112
_cell_length_c 5.065
_cell_angle_alpha 90.00
_cell_angle_beta 90.00
_cell_angle_gamma 90.00
_space_group_name_H-M_alt 'P m m m'
_space_group_IT_number 47
loop_
_space_group_symop_operation_xyz
'x,y,z'
'-x,-y,-z'
'-x,-y,z'
'x,y,-z'
'x,-y,-z'
'-x,y,z'
'-x,y,-z'
'x,-y,z'
loop_
_atom_site_label
_atom_site_type_symbol
_atom_site_fract_x
_atom_site_fract_y
_atom_site_fract_z
Zr1 Zr 0.000 0.000 0.000
Zr2 Zr 0.500 0.000 0.500
Si1 Si 0.000 0.500 0.500
Pb1 Pb 0.500 0.500 0.000

=====

11.
# PBE RbFeSeBr2, optimized geometry
# ΔE to the lowest computed polymorph (kJ per mole of atoms): 145.2
# Formation energy (no corrections) (meV per atom): 835
data_RbFeSeBr2
_chemical_formula_sum 'Rb1 Fe1 Se1 Br2'
_cell_length_a 6.126
_cell_length_b 6.126
_cell_length_c 5.933
_cell_angle_alpha 90.00
_cell_angle_beta 90.00
_cell_angle_gamma 90.00
_space_group_name_H-M_alt 'P 4/m m m'
_space_group_IT_number 123
_space_group_name_Hall '-P 4 2'
loop_
_atom_site_label
_atom_site_type_symbol
_atom_site_fract_x
_atom_site_fract_y
_atom_site_fract_z
Rb1 Rb 0.000 0.000 0.000
Fe1 Fe 0.500 0.500 0.500
Se1 Se 0.000 0.000 0.500
Br1 Br 0.000 0.500 0.000

=====

12.
# PBE K3LiTe4, optimized geometry
# Formation energy (no corrections) (meV per atom): -632
data_K3LiTe4
_chemical_formula_sum 'K6 Li2 Te8'
_cell_length_a 6.407
_cell_length_b 12.860
_cell_length_c 6.747
_cell_angle_alpha 90.00
_cell_angle_beta 90.00
_cell_angle_gamma 90.00
_space_group_name_H-M_alt 'P m m n'
_space_group_IT_number 59
loop_
_space_group_symop_operation_xyz
'x,y,z'
'-x,-y,-z'
'-x+1/2,-y+1/2,z'
'x+1/2,y+1/2,-z'
'x+1/2,-y,-z'
'-x+1/2,y,z'
'-x,y+1/2,-z'
'x,-y+1/2,z'
loop_
_atom_site_label
_atom_site_type_symbol
_atom_site_fract_x
_atom_site_fract_y
_atom_site_fract_z
K1 K 0.250 0.000 0.146
K2 K 0.250 0.250 0.473
Li1 Li 0.250 0.750 0.376
Te1 Te 0.027 0.250 0.975
Te2 Te 0.250 0.585 0.636

=====

Results for calculated volume: 33 129 62 86 368 97 215 32 58 85 223 278 (in Å³/f.u., following the order of the records).
Results for total energy: -7.28 -19.24 -30.55 -16.67 -61.64 -40.31 -34.83 -21.52 -21.02 -27.17 -12.08 -22.83 (in eV/f.u., following the order of the records).